Computed, not measured: a relaxed structure of Tb2AlNi2Pt5 at the PBE-GGA level of DFT.

Values from the calculation:
* DOS(E_F): 5.68 states/eV/f.u.
* volume: 335 Å³/cell
* energy of formation: -894 meV/atom
* M_tot: 0.0 μB per formula unit

abc: 9.2469 9.2469 3.9125
angles: 90.00 90.00 90.00
Space group P4/mbm (No. 127)
Unique sites:
Tb 0.1734 0.3266 0.0000 (multiplicity 4)
Al 0.0000 0.0000 0.0000 (multiplicity 2)
Ni 0.1244 0.6244 0.0000 (multiplicity 4)
Pt 0.0000 0.5000 0.5000 (multiplicity 2)
Pt 0.0690 0.7962 0.5000 (multiplicity 8)